VASP calculation (PBE) on a geometry-optimized Na2Zn3In9 structure. Values from VASP.

Cell and atoms, written as Quantum ESPRESSO input:
```
&SYSTEM
  ibrav = 0, nat = 28, ntyp = 3
/
ATOMIC_SPECIES
Na 22.99 Na.upf
Zn 65.41 Zn.upf
In 114.82 In.upf
CELL_PARAMETERS angstrom
7.092 -4.208 0.000
7.092 4.208 0.000
-4.395 0.000 11.599
ATOMIC_POSITIONS crystal
Na 0.027 0.252 0.246
Na 0.252 0.027 0.746
Na 0.748 0.973 0.254
Na 0.973 0.748 0.754
Zn 0.000 0.500 0.000
Zn 0.179 0.685 0.542
Zn 0.315 0.821 0.958
Zn 0.500 0.000 0.500
Zn 0.685 0.179 0.042
Zn 0.821 0.315 0.458
In 0.043 0.848 0.076
In 0.139 0.590 0.256
In 0.152 0.957 0.424
In 0.172 0.348 0.585
In 0.321 0.447 0.929
In 0.348 0.172 0.085
In 0.410 0.861 0.244
In 0.435 0.565 0.750
In 0.447 0.321 0.429
In 0.553 0.679 0.571
In 0.565 0.435 0.250
In 0.590 0.139 0.756
In 0.652 0.828 0.915
In 0.679 0.553 0.071
In 0.828 0.652 0.415
In 0.848 0.043 0.576
In 0.861 0.410 0.744
In 0.957 0.152 0.924
```

Space group ... No. 15
Energy of formation from the pure elements ... -13 meV per atom
Crystal system ... monoclinic
Mass density ... 6.120 g cm⁻³

VASP calculation (PBE) on a geometry-optimized Na2Zn16In structure. Values from VASP.

Cell and atoms, written as Quantum ESPRESSO input:
```
&SYSTEM
  ibrav = 0, nat = 19, ntyp = 3
/
ATOMIC_SPECIES
Na 22.99 Na.upf
Zn 65.41 Zn.upf
In 114.82 In.upf
CELL_PARAMETERS angstrom
4.607 2.660 4.407
-4.607 2.660 4.407
0.000 -5.319 4.407
ATOMIC_POSITIONS crystal
Na 0.000 0.000 0.000
Na 0.308 0.308 0.308
Zn 0.004 0.004 0.485
Zn 0.004 0.485 0.004
Zn 0.162 0.645 0.645
Zn 0.305 0.305 0.809
Zn 0.305 0.809 0.305
Zn 0.343 0.652 0.959
Zn 0.343 0.959 0.652
Zn 0.485 0.004 0.004
Zn 0.542 0.542 0.542
Zn 0.645 0.162 0.645
Zn 0.645 0.645 0.162
Zn 0.652 0.343 0.959
Zn 0.652 0.959 0.343
Zn 0.809 0.305 0.305
Zn 0.959 0.343 0.652
Zn 0.959 0.652 0.343
In 0.754 0.754 0.754
```

Space group ... No. 160
Energy of formation from the pure elements ... -24 meV per atom
Crystal system ... trigonal
Mass density ... 6.189 g cm⁻³

VASP calculation (PBE) on a geometry-optimized NaZnIn structure. Values from VASP.

Cell and atoms, written as Quantum ESPRESSO input:
```
&SYSTEM
  ibrav = 0, nat = 6, ntyp = 3
/
ATOMIC_SPECIES
Na 22.99 Na.upf
Zn 65.41 Zn.upf
In 114.82 In.upf
CELL_PARAMETERS angstrom
6.317 -2.184 0.000
6.317 2.184 0.000
-1.279 0.000 5.402
ATOMIC_POSITIONS crystal
Na 0.126 0.126 0.329
Na 0.874 0.874 0.671
Zn 0.217 0.217 0.878
Zn 0.783 0.783 0.122
In 0.429 0.429 0.214
In 0.571 0.571 0.786
```

Space group ... No. 12
Energy of formation from the pure elements ... -30 meV per atom
Crystal system ... monoclinic
Mass density ... 4.528 g cm⁻³
Energy above the lowest structure with this stoichiometry ... 29 meV per atom

VASP calculation (PBE) on a geometry-optimized Na2ZnIn4 structure. Values from VASP.

Cell and atoms, written as Quantum ESPRESSO input:
```
&SYSTEM
  ibrav = 0, nat = 7, ntyp = 3
/
ATOMIC_SPECIES
Na 22.99 Na.upf
Zn 65.41 Zn.upf
In 114.82 In.upf
CELL_PARAMETERS angstrom
3.032 -7.293 0.000
3.032 7.293 0.000
0.000 0.000 4.987
ATOMIC_POSITIONS crystal
Na 0.143 0.857 0.000
Na 0.857 0.143 0.000
Zn 0.500 0.500 0.500
In 0.291 0.709 0.500
In 0.402 0.598 0.000
In 0.598 0.402 0.000
In 0.709 0.291 0.500
```

Space group ... No. 65
Energy of formation from the pure elements ... 72 meV per atom
Crystal system ... orthorhombic
Mass density ... 4.297 g cm⁻³

VASP calculation (PBE) on a geometry-optimized NaZnIn structure. Values from VASP.

Cell and atoms, written as Quantum ESPRESSO input:
```
&SYSTEM
  ibrav = 0, nat = 3, ntyp = 3
/
ATOMIC_SPECIES
Na 22.99 Na.upf
Zn 65.41 Zn.upf
In 114.82 In.upf
CELL_PARAMETERS angstrom
0.000 3.369 3.369
3.369 0.000 3.369
3.369 3.369 0.000
ATOMIC_POSITIONS crystal
Na 0.000 0.000 0.000
Zn 0.750 0.750 0.750
In 0.500 0.500 0.500
```

Space group ... No. 216
Energy of formation from the pure elements ... 55 meV per atom
Crystal system ... cubic
Mass density ... 4.414 g cm⁻³
Energy above the lowest structure with this stoichiometry ... 113 meV per atom

VASP calculation (PBE) on a geometry-optimized NaZn2In structure. Values from VASP.

Cell and atoms, written as Quantum ESPRESSO input:
```
&SYSTEM
  ibrav = 0, nat = 8, ntyp = 3
/
ATOMIC_SPECIES
Na 22.99 Na.upf
Zn 65.41 Zn.upf
In 114.82 In.upf
CELL_PARAMETERS angstrom
-2.325 2.325 9.665
2.325 -2.325 9.665
2.325 2.325 -9.665
ATOMIC_POSITIONS crystal
Na 0.000 0.000 0.000
Na 0.750 0.250 0.500
Zn 0.241 0.625 0.116
Zn 0.375 0.491 0.616
Zn 0.509 0.125 0.884
Zn 0.875 0.759 0.384
In 0.250 0.750 0.500
In 0.500 0.500 0.000
```

Space group ... No. 122
Energy of formation from the pure elements ... 186 meV per atom
Crystal system ... tetragonal
Mass density ... 4.270 g cm⁻³

VASP calculation (PBE) on a geometry-optimized Na4ZnIn structure. Values from VASP.

Cell and atoms, written as Quantum ESPRESSO input:
```
&SYSTEM
  ibrav = 0, nat = 12, ntyp = 3
/
ATOMIC_SPECIES
Na 22.99 Na.upf
Zn 65.41 Zn.upf
In 114.82 In.upf
CELL_PARAMETERS angstrom
2.732 -5.979 0.000
2.732 5.979 0.000
0.000 0.000 10.398
ATOMIC_POSITIONS crystal
Na 0.018 0.982 0.500
Na 0.185 0.815 0.763
Na 0.315 0.685 0.478
Na 0.470 0.530 0.761
Na 0.530 0.470 0.261
Na 0.685 0.315 0.978
Na 0.815 0.185 0.263
Na 0.982 0.018 0.000
Zn 0.159 0.841 0.229
Zn 0.841 0.159 0.729
In 0.324 0.676 0.047
In 0.676 0.324 0.547
```

Space group ... No. 36
Energy of formation from the pure elements ... -3 meV per atom
Crystal system ... orthorhombic
Mass density ... 2.661 g cm⁻³

VASP calculation (PBE) on a geometry-optimized Na2ZnIn9 structure. Values from VASP.

Cell and atoms, written as Quantum ESPRESSO input:
```
&SYSTEM
  ibrav = 0, nat = 12, ntyp = 3
/
ATOMIC_SPECIES
Na 22.99 Na.upf
Zn 65.41 Zn.upf
In 114.82 In.upf
CELL_PARAMETERS angstrom
4.728 0.000 0.000
0.000 4.728 0.000
0.000 0.000 13.767
ATOMIC_POSITIONS crystal
Na 0.000 0.000 0.170
Na 0.000 0.000 0.830
Zn 0.000 0.000 0.500
In 0.000 0.500 0.000
In 0.000 0.500 0.342
In 0.000 0.500 0.658
In 0.500 0.000 0.000
In 0.500 0.000 0.342
In 0.500 0.000 0.658
In 0.500 0.500 0.167
In 0.500 0.500 0.500
In 0.500 0.500 0.833
```

Space group ... No. 123
Energy of formation from the pure elements ... -24 meV per atom
Crystal system ... tetragonal
Mass density ... 6.177 g cm⁻³

VASP calculation (PBE) on a geometry-optimized NaZn2In structure. Values from VASP.

Cell and atoms, written as Quantum ESPRESSO input:
```
&SYSTEM
  ibrav = 0, nat = 4, ntyp = 3
/
ATOMIC_SPECIES
Na 22.99 Na.upf
Zn 65.41 Zn.upf
In 114.82 In.upf
CELL_PARAMETERS angstrom
4.487 0.000 0.000
0.000 4.487 0.000
0.000 0.000 4.117
ATOMIC_POSITIONS crystal
Na 0.000 0.000 0.000
Zn 0.000 0.500 0.500
Zn 0.500 0.000 0.500
In 0.500 0.500 0.000
```

Space group ... No. 123
Energy of formation from the pure elements ... 61 meV per atom
Crystal system ... tetragonal
Mass density ... 5.381 g cm⁻³

VASP calculation (PBE) on a geometry-optimized Na12ZnIn6 structure. Values from VASP.

Cell and atoms, written as Quantum ESPRESSO input:
```
&SYSTEM
  ibrav = 0, nat = 19, ntyp = 3
/
ATOMIC_SPECIES
Na 22.99 Na.upf
Zn 65.41 Zn.upf
In 114.82 In.upf
CELL_PARAMETERS angstrom
6.957 4.016 3.357
-6.957 4.016 3.357
0.000 -8.033 3.357
ATOMIC_POSITIONS crystal
Na 0.006 0.314 0.856
Na 0.144 0.994 0.686
Na 0.197 0.487 0.638
Na 0.314 0.856 0.006
Na 0.362 0.803 0.513
Na 0.487 0.638 0.197
Na 0.513 0.362 0.803
Na 0.638 0.197 0.487
Na 0.686 0.144 0.994
Na 0.803 0.513 0.362
Na 0.856 0.006 0.314
Na 0.994 0.686 0.144
Zn 0.000 0.000 0.000
In 0.109 0.367 0.244
In 0.244 0.109 0.367
In 0.367 0.244 0.109
In 0.633 0.756 0.891
In 0.756 0.891 0.633
In 0.891 0.633 0.756
```

Space group ... No. 148
Energy of formation from the pure elements ... -43 meV per atom
Crystal system ... trigonal
Mass density ... 3.040 g cm⁻³

VASP calculation (PBE) on a geometry-optimized Na3Zn3In8 structure. Values from VASP.

Cell and atoms, written as Quantum ESPRESSO input:
```
&SYSTEM
  ibrav = 0, nat = 14, ntyp = 3
/
ATOMIC_SPECIES
Na 22.99 Na.upf
Zn 65.41 Zn.upf
In 114.82 In.upf
CELL_PARAMETERS angstrom
-2.489 5.214 6.635
2.489 -5.214 6.635
2.489 5.214 -6.635
ATOMIC_POSITIONS crystal
Na 0.000 0.000 0.000
Na 0.276 0.276 0.000
Na 0.724 0.724 0.000
Zn 0.373 0.500 0.873
Zn 0.500 0.000 0.500
Zn 0.627 0.500 0.127
In 0.014 0.371 0.643
In 0.160 0.859 0.300
In 0.271 0.629 0.643
In 0.441 0.141 0.300
In 0.559 0.859 0.700
In 0.729 0.371 0.357
In 0.840 0.141 0.700
In 0.986 0.629 0.357
```

Space group ... No. 71
Energy of formation from the pure elements ... -58 meV per atom
Crystal system ... orthorhombic
Mass density ... 5.707 g cm⁻³

VASP calculation (PBE) on a geometry-optimized NaZn4In structure. Values from VASP.

Cell and atoms, written as Quantum ESPRESSO input:
```
&SYSTEM
  ibrav = 0, nat = 6, ntyp = 3
/
ATOMIC_SPECIES
Na 22.99 Na.upf
Zn 65.41 Zn.upf
In 114.82 In.upf
CELL_PARAMETERS angstrom
0.000 3.814 3.814
3.814 0.000 3.814
3.814 3.814 0.000
ATOMIC_POSITIONS crystal
Na 0.000 0.000 0.000
Zn 0.374 0.374 0.374
Zn 0.374 0.374 0.877
Zn 0.374 0.877 0.374
Zn 0.877 0.374 0.374
In 0.750 0.750 0.750
```

Space group ... No. 216
Energy of formation from the pure elements ... 13 meV per atom
Crystal system ... cubic
Mass density ... 5.976 g cm⁻³

> Look up the energy of formation from the pure elements of the first one.

-13 meV per atom